(i)
Here is crystalline NaSrAc at its relaxed geometry from Alexandria via LeMat-Bulk. Energies are from PBE.

Values from the calculation:
Magnetization, μB/cell: 0.000
Theoretical density, g cm⁻³: 4.045

a = 4.0229 Å, b = 4.0229 Å, c = 9.8884 Å
α = 90.00°, β = 90.00°, γ = 120.00°
Fractional coordinates of all 3 atoms:
1 Na 0.0000 0.0000 0.0000
2 Sr 0.6667 0.3333 0.3375
3 Ac 0.3333 0.6667 0.6755

(ii)
Here is crystalline NaSrAc at its relaxed geometry from Alexandria via LeMat-Bulk. Energies are from PBE.

Values from the calculation:
Magnetization, μB/cell: 0.000
Theoretical density, g cm⁻³: 4.038

a = 4.0548 Å, b = 4.0548 Å, c = 19.6394 Å
α = 96.14°, β = 96.14°, γ = 60.07°
Fractional coordinates of all 6 atoms:
1 Na 0.0000 0.0000 0.0000
2 Na 0.7133 0.7133 0.1519
3 Sr 0.2788 0.2788 0.8320
4 Sr 0.4333 0.4333 0.3186
5 Ac 0.5523 0.5523 0.6563
6 Ac 0.8289 0.8289 0.4943

Which is most stable, and by how much? (ii), by 65 meV/atom.

(i)
Here is crystalline Na2SrAc at its relaxed geometry from Alexandria via LeMat-Bulk. Energies are from PBE.

Values from the calculation:
Magnetization, μB/cell: 0.000
Theoretical density, g cm⁻³: 3.463

a = 6.2532 Å, b = 6.2532 Å, c = 6.2532 Å
α = 60.00°, β = 60.00°, γ = 60.00°
Fractional coordinates of all 4 atoms:
1 Na 0.2500 0.2500 0.2500
2 Na 0.7500 0.7500 0.7500
3 Sr 0.0000 0.0000 0.0000
4 Ac 0.5000 0.5000 0.5000

(ii)
Here is crystalline Na2SrAc at its relaxed geometry from Alexandria via LeMat-Bulk. Energies are from PBE.

Values from the calculation:
Magnetization, μB/cell: 0.303
Theoretical density, g cm⁻³: 3.470

a = 4.3939 Å, b = 4.3939 Å, c = 8.9379 Å
α = 90.00°, β = 90.00°, γ = 90.00°
Fractional coordinates of all 4 atoms:
1 Na 0.0000 0.0000 0.2481
2 Na 0.0000 0.0000 0.7519
3 Sr 0.5000 0.5000 0.5000
4 Ac 0.5000 0.5000 0.0000

(iii)
Here is crystalline Na2SrAc at its relaxed geometry from Alexandria via LeMat-Bulk. Energies are from PBE.

Values from the calculation:
Magnetization, μB/cell: 0.001
Theoretical density, g cm⁻³: 3.250

a = 14.1982 Å, b = 14.1982 Å, c = 14.1982 Å
α = 15.77°, β = 15.77°, γ = 15.77°
Fractional coordinates of all 4 atoms:
1 Na 0.0873 0.0873 0.0873
2 Na 0.9127 0.9127 0.9127
3 Sr 0.5000 0.5000 0.5000
4 Ac 0.0000 0.0000 0.0000

(iv)
Here is crystalline Na2SrAc at its relaxed geometry from Alexandria via LeMat-Bulk. Energies are from PBE.

Values from the calculation:
Magnetization, μB/cell: 0.000
Theoretical density, g cm⁻³: 3.341

a = 13.3203 Å, b = 13.3203 Å, c = 13.3203 Å
α = 17.15°, β = 17.15°, γ = 17.15°
Fractional coordinates of all 4 atoms:
1 Na 0.0000 0.0000 0.0000
2 Na 0.1639 0.1639 0.1639
3 Sr 0.5818 0.5818 0.5818
4 Ac 0.4153 0.4153 0.4153

Which is most stable, and by how much? (iv), by 27 meV/atom.

(i)
Here is crystalline NaAcTb at its relaxed geometry from Alexandria via LeMat-Bulk. Energies are from PBE.

Values from the calculation:
Magnetization, μB/cell: 0.003
Theoretical density, g cm⁻³: 5.070

a = 5.6615 Å, b = 5.6627 Å, c = 10.1679 Å
α = 105.89°, β = 90.23°, γ = 119.91°
Fractional coordinates of all 6 atoms:
1 Na 0.2028 0.4080 0.1086
2 Na 0.7972 0.5920 0.8914
3 Ac 0.0638 0.1249 0.6901
4 Ac 0.9362 0.8751 0.3099
5 Tb 0.3352 0.6713 0.5063
6 Tb 0.6648 0.3287 0.4937

(ii)
Here is crystalline NaAcTb at its relaxed geometry from Alexandria via LeMat-Bulk. Energies are from PBE.

Values from the calculation:
Magnetization, μB/cell: 0.000
Theoretical density, g cm⁻³: 5.872

a = 3.7641 Å, b = 3.7641 Å, c = 9.4244 Å
α = 90.00°, β = 90.00°, γ = 120.00°
Fractional coordinates of all 3 atoms:
1 Na 0.0000 0.0000 0.0000
2 Ac 0.6667 0.3333 0.3569
3 Tb 0.3333 0.6667 0.6686

Which is most stable, and by how much? (ii), by 181 meV/atom.

(i)
Here is crystalline NaAcTe at its relaxed geometry from Alexandria via LeMat-Bulk. Energies are from PBE.

Values from the calculation:
Magnetization, μB/cell: 0.000
Theoretical density, g cm⁻³: 5.265

a = 7.6554 Å, b = 7.6554 Å, c = 7.6554 Å
α = 148.94°, β = 148.94°, γ = 44.50°
Fractional coordinates of all 3 atoms:
1 Na 0.0000 0.0000 0.0000
2 Ac 0.2786 0.2786 0.0000
3 Te 0.6604 0.6604 0.0000

(ii)
Here is crystalline NaAcTe at its relaxed geometry from Alexandria via LeMat-Bulk. Energies are from PBE.

Values from the calculation:
Magnetization, μB/cell: 0.000
Theoretical density, g cm⁻³: 5.329

a = 8.7793 Å, b = 6.9697 Å, c = 7.8615 Å
α = 90.00°, β = 101.93°, γ = 90.00°
Fractional coordinates of all 12 atoms:
1 Na 0.0403 0.2489 0.0090
2 Na 0.0403 0.2511 0.5090
3 Na 0.9597 0.7489 0.4910
4 Na 0.9597 0.7511 0.9910
5 Ac 0.4842 0.7338 0.1249
6 Ac 0.4842 0.7662 0.6249
7 Ac 0.5158 0.2338 0.3751
8 Ac 0.5158 0.2662 0.8751
9 Te 0.1948 0.5416 0.7959
10 Te 0.1948 0.9584 0.2959
11 Te 0.8052 0.0416 0.7041
12 Te 0.8052 0.4584 0.2041

(iii)
Here is crystalline NaAcTe at its relaxed geometry from Alexandria via LeMat-Bulk. Energies are from PBE.

Values from the calculation:
Magnetization, μB/cell: 0.000
Theoretical density, g cm⁻³: 5.076

a = 5.5945 Å, b = 5.5945 Å, c = 4.5568 Å
α = 90.00°, β = 90.00°, γ = 120.00°
Fractional coordinates of all 3 atoms:
1 Na 0.0000 0.0000 0.0000
2 Ac 0.6667 0.3333 0.5000
3 Te 0.3333 0.6667 0.5000

Which is most stable, and by how much? (ii), by 44 meV/atom.

(i)
Here is crystalline NaAc2Te at its relaxed geometry from Alexandria via LeMat-Bulk. Energies are from PBE.

Values from the calculation:
Magnetization, μB/cell: 0.002
Theoretical density, g cm⁻³: 5.350

a = 12.4921 Å, b = 12.4921 Å, c = 12.4921 Å
α = 19.38°, β = 19.38°, γ = 19.38°
Fractional coordinates of all 4 atoms:
1 Na 0.0000 0.0000 0.0000
2 Ac 0.1056 0.1056 0.1056
3 Ac 0.8944 0.8944 0.8944
4 Te 0.5000 0.5000 0.5000

(ii)
Here is crystalline NaAc2Te at its relaxed geometry from Alexandria via LeMat-Bulk. Energies are from PBE.

Values from the calculation:
Magnetization, μB/cell: 0.016
Theoretical density, g cm⁻³: 6.926

a = 4.2437 Å, b = 4.2437 Å, c = 8.0491 Å
α = 90.00°, β = 90.00°, γ = 90.00°
Fractional coordinates of all 4 atoms:
1 Na 0.0000 0.0000 0.0000
2 Ac 0.5000 0.5000 0.2641
3 Ac 0.5000 0.5000 0.7359
4 Te 0.0000 0.0000 0.5000

Which is most stable, and by how much? (ii), by 100 meV/atom.

(i)
Here is crystalline NaAc2Th at its relaxed geometry from Alexandria via LeMat-Bulk. Energies are from PBE.

Values from the calculation:
Magnetization, μB/cell: 0.000
Theoretical density, g cm⁻³: 7.323

a = 3.8060 Å, b = 3.8060 Å, c = 11.0991 Å
α = 90.00°, β = 90.00°, γ = 90.00°
Fractional coordinates of all 4 atoms:
1 Na 0.0000 0.0000 0.0000
2 Ac 0.5000 0.5000 0.2712
3 Ac 0.5000 0.5000 0.7288
4 Th 0.0000 0.0000 0.5000

(ii)
Here is crystalline NaAc2Th at its relaxed geometry from Alexandria via LeMat-Bulk. Energies are from PBE.

Values from the calculation:
Magnetization, μB/cell: 0.000
Theoretical density, g cm⁻³: 7.060

a = 13.6166 Å, b = 13.6166 Å, c = 13.6166 Å
α = 15.98°, β = 15.98°, γ = 15.98°
Fractional coordinates of all 4 atoms:
1 Na 0.0000 0.0000 0.0000
2 Ac 0.0929 0.0929 0.0929
3 Ac 0.9071 0.9071 0.9071
4 Th 0.5000 0.5000 0.5000

Which is most stable, and by how much? (i), by 66 meV/atom.

(i)
Here is crystalline NaAcTl2 at its relaxed geometry from Alexandria via LeMat-Bulk. Energies are from PBE.

Values from the calculation:
Magnetization, μB/cell: 0.000
Theoretical density, g cm⁻³: 8.070

a = 10.9686 Å, b = 10.9686 Å, c = 10.9686 Å
α = 20.04°, β = 20.04°, γ = 20.04°
Fractional coordinates of all 4 atoms:
1 Na 0.0000 0.0000 0.0000
2 Ac 0.5000 0.5000 0.5000
3 Tl 0.2552 0.2552 0.2552
4 Tl 0.7448 0.7448 0.7448

(ii)
Here is crystalline NaAcTl2 at its relaxed geometry from Alexandria via LeMat-Bulk. Energies are from PBE.

Values from the calculation:
Magnetization, μB/cell: 0.000
Theoretical density, g cm⁻³: 8.339

a = 5.6547 Å, b = 5.6547 Å, c = 4.1025 Å
α = 90.00°, β = 90.00°, γ = 90.00°
Fractional coordinates of all 4 atoms:
1 Na 0.0000 0.0000 0.0000
2 Ac 0.5000 0.5000 0.0000
3 Tl 0.0000 0.5000 0.5000
4 Tl 0.5000 0.0000 0.5000

Which is most stable, and by how much? (ii), by 171 meV/atom.

(i)
Here is crystalline NaAcTl2 at its relaxed geometry from Alexandria via LeMat-Bulk. Energies are from PBE.

Values from the calculation:
Magnetization, μB/cell: 0.000
Theoretical density, g cm⁻³: 8.600

a = 5.6449 Å, b = 5.6449 Å, c = 5.6449 Å
α = 60.00°, β = 60.00°, γ = 60.00°
Fractional coordinates of all 4 atoms:
1 Na 0.0000 0.0000 0.0000
2 Ac 0.5000 0.5000 0.5000
3 Tl 0.2500 0.2500 0.2500
4 Tl 0.7500 0.7500 0.7500

(ii)
Here is crystalline NaAcTl2 at its relaxed geometry from Alexandria via LeMat-Bulk. Energies are from PBE.

Values from the calculation:
Magnetization, μB/cell: 0.000
Theoretical density, g cm⁻³: 8.075

a = 10.8309 Å, b = 10.8309 Å, c = 10.8309 Å
α = 20.43°, β = 20.43°, γ = 20.43°
Fractional coordinates of all 4 atoms:
1 Na 0.0000 0.0000 0.0000
2 Ac 0.1668 0.1668 0.1668
3 Tl 0.5889 0.5889 0.5889
4 Tl 0.7447 0.7447 0.7447

Which is most stable, and by how much? (i), by 204 meV/atom.

(i)
Here is crystalline Na2AcTl2 at its relaxed geometry from Alexandria via LeMat-Bulk. Energies are from PBE.

Values from the calculation:
Magnetization, μB/cell: 0.000
Theoretical density, g cm⁻³: 6.864

a = 15.7958 Å, b = 15.7958 Å, c = 15.7958 Å
α = 165.42°, β = 160.57°, γ = 24.37°
Fractional coordinates of all 10 atoms:
1 Na 0.0449 0.2949 0.7500
2 Na 0.4395 0.1895 0.2500
3 Na 0.5605 0.8105 0.7500
4 Na 0.9551 0.7051 0.2500
5 Ac 0.3241 0.5741 0.7500
6 Ac 0.6759 0.4259 0.2500
7 Tl 0.1243 0.8743 0.2500
8 Tl 0.2239 0.9739 0.2500
9 Tl 0.7761 0.0261 0.7500
10 Tl 0.8757 0.1257 0.7500

(ii)
Here is crystalline Na2AcTl2 at its relaxed geometry from Alexandria via LeMat-Bulk. Energies are from PBE.

Values from the calculation:
Magnetization, μB/cell: 0.000
Theoretical density, g cm⁻³: 6.952

a = 8.4545 Å, b = 8.4545 Å, c = 8.4545 Å
α = 148.68°, β = 148.68°, γ = 44.89°
Fractional coordinates of all 5 atoms:
1 Na 0.2500 0.7500 0.5000
2 Na 0.7500 0.2500 0.5000
3 Ac 0.0000 0.0000 0.0000
4 Tl 0.3959 0.3959 0.0000
5 Tl 0.6041 0.6041 0.0000

Which is most stable, and by how much? (i), by 20 meV/atom.

(i)
Here is crystalline NaAcTl at its relaxed geometry from Alexandria via LeMat-Bulk. Energies are from PBE.

Values from the calculation:
Magnetization, μB/cell: 0.000
Theoretical density, g cm⁻³: 6.526

a = 5.4683 Å, b = 5.4683 Å, c = 5.4683 Å
α = 60.00°, β = 60.00°, γ = 60.00°
Fractional coordinates of all 3 atoms:
1 Na 0.0000 0.0000 0.0000
2 Ac 0.5000 0.5000 0.5000
3 Tl 0.7500 0.7500 0.7500

(ii)
Here is crystalline NaAcTl at its relaxed geometry from Alexandria via LeMat-Bulk. Energies are from PBE.

Values from the calculation:
Magnetization, μB/cell: 0.000
Theoretical density, g cm⁻³: 7.235

a = 5.9142 Å, b = 5.9142 Å, c = 6.8835 Å
α = 90.00°, β = 90.00°, γ = 120.00°
Fractional coordinates of all 6 atoms:
1 Na 0.0000 0.0000 0.0000
2 Na 0.0000 0.0000 0.5000
3 Ac 0.3333 0.6667 0.2500
4 Ac 0.6667 0.3333 0.7500
5 Tl 0.3333 0.6667 0.7500
6 Tl 0.6667 0.3333 0.2500

(iii)
Here is crystalline NaAcTl at its relaxed geometry from Alexandria via LeMat-Bulk. Energies are from PBE.

Values from the calculation:
Magnetization, μB/cell: 0.000
Theoretical density, g cm⁻³: 7.317

a = 6.7985 Å, b = 6.7985 Å, c = 6.7985 Å
α = 144.95°, β = 144.95°, γ = 50.41°
Fractional coordinates of all 3 atoms:
1 Na 0.0000 0.0000 0.0000
2 Ac 0.2955 0.2955 0.0000
3 Tl 0.6285 0.6285 0.0000

Which is most stable, and by how much? (ii), by 98 meV/atom.

(i)
Here is crystalline Na3Ac2Tl4 at its relaxed geometry from Alexandria via LeMat-Bulk. Energies are from PBE.

Values from the calculation:
Magnetization, μB/cell: 0.000
Theoretical density, g cm⁻³: 7.710

a = 10.2678 Å, b = 10.2678 Å, c = 8.7912 Å
α = 90.00°, β = 90.00°, γ = 141.46°
Fractional coordinates of all 18 atoms:
1 Na 0.0000 0.0000 0.0000
2 Na 0.0195 0.4805 0.2500
3 Na 0.4805 0.0195 0.7500
4 Na 0.5000 0.5000 0.5000
5 Na 0.5195 0.9805 0.2500
6 Na 0.9805 0.5195 0.7500
7 Ac 0.0984 0.9016 0.4030
8 Ac 0.4016 0.5984 0.9030
9 Ac 0.5984 0.4016 0.0970
10 Ac 0.9016 0.0984 0.5970
11 Tl 0.1588 0.8412 0.0261
12 Tl 0.1858 0.3142 0.2500
13 Tl 0.3142 0.1858 0.7500
14 Tl 0.3412 0.6588 0.5261
15 Tl 0.6588 0.3412 0.4739
16 Tl 0.6858 0.8142 0.2500
17 Tl 0.8142 0.6858 0.7500
18 Tl 0.8412 0.1588 0.9739

(ii)
Here is crystalline Na3Ac2Tl4 at its relaxed geometry from Alexandria via LeMat-Bulk. Energies are from PBE.

Values from the calculation:
Magnetization, μB/cell: 0.000
Theoretical density, g cm⁻³: 7.622

a = 5.5963 Å, b = 5.5963 Å, c = 10.7783 Å
α = 90.12°, β = 90.12°, γ = 59.90°
Fractional coordinates of all 9 atoms:
1 Na 0.0000 0.0000 0.0000
2 Na 0.3342 0.3342 0.4293
3 Na 0.6658 0.6658 0.5707
4 Ac 0.3326 0.3326 0.7948
5 Ac 0.6674 0.6674 0.2052
6 Tl 0.0011 0.0011 0.3455
7 Tl 0.3341 0.3341 0.1108
8 Tl 0.6659 0.6659 0.8892
9 Tl 0.9989 0.9989 0.6545

Which is most stable, and by how much? (ii), by 67 meV/atom.

(i)
Here is crystalline Na2AcTl5 at its relaxed geometry from Alexandria via LeMat-Bulk. Energies are from PBE.

Values from the calculation:
Magnetization, μB/cell: 0.000
Theoretical density, g cm⁻³: 9.032

a = 9.8434 Å, b = 9.8434 Å, c = 9.8434 Å
α = 149.98°, β = 149.98°, γ = 42.97°
Fractional coordinates of all 8 atoms:
1 Na 0.2474 0.2474 0.0000
2 Na 0.7526 0.7526 0.0000
3 Ac 0.0000 0.0000 0.0000
4 Tl 0.1333 0.6333 0.5000
5 Tl 0.3667 0.8667 0.5000
6 Tl 0.5000 0.5000 0.0000
7 Tl 0.6333 0.1333 0.5000
8 Tl 0.8667 0.3667 0.5000

(ii)
Here is crystalline Na2AcTl5 at its relaxed geometry from Alexandria via LeMat-Bulk. Energies are from PBE.

Values from the calculation:
Magnetization, μB/cell: 0.000
Theoretical density, g cm⁻³: 8.649

a = 9.0962 Å, b = 9.0962 Å, c = 9.0962 Å
α = 123.90°, β = 123.90°, γ = 83.37°
Fractional coordinates of all 16 atoms:
1 Na 0.1563 0.6563 0.8126
2 Na 0.3437 0.1563 0.5000
3 Na 0.6563 0.8437 0.5000
4 Na 0.8437 0.3437 0.1874
5 Ac 0.2500 0.2500 0.0000
6 Ac 0.7500 0.7500 0.0000
7 Tl 0.0000 0.0000 0.0000
8 Tl 0.0211 0.8010 0.5000
9 Tl 0.1990 0.6990 0.2200
10 Tl 0.3010 0.5211 0.5000
11 Tl 0.4789 0.9789 0.7800
12 Tl 0.5000 0.5000 0.0000
13 Tl 0.5211 0.0211 0.2200
14 Tl 0.6990 0.4789 0.5000
15 Tl 0.8010 0.3010 0.7800
16 Tl 0.9789 0.1990 0.5000

Which is most stable, and by how much? (i), by 75 meV/atom.